Entry i
A plane-wave DFT calculation with PBEsol was carried out for crystalline Sb2PtRh at its relaxed geometry.

Cell lengths 3.9860, 3.9860, 5.3915 Å; angles 111.69, 111.69, 90.00 degrees
Element x y z (fractional)
Sb 0.0000 0.0000 0.0000
Sb 0.7500 0.2500 0.5000
Pt 0.5000 0.5000 0.0000
Rh 0.2500 0.7500 0.5000

## Properties
Symmetry: No. 119

Entry ii
A plane-wave DFT calculation with PBEsol was carried out for crystalline Sb2PtRh at its relaxed geometry.

Cell lengths 3.8305, 3.8305, 5.3927 Å; angles 90.00, 90.00, 90.00 degrees
Element x y z (fractional)
Sb 0.0000 0.0000 0.0000
Sb 0.5000 0.5000 0.5000
Pt 0.5000 0.5000 0.0000
Rh 0.0000 0.0000 0.5000

## Properties
Symmetry: No. 123

Pick entry ii: it beats the second-best structure by 13.4 kJ/mol of atoms.

Entry i
A plane-wave DFT calculation with PBEsol was carried out for crystalline TcPtRh2 at its relaxed geometry.

Cell lengths 2.6894, 3.7972, 5.4352 Å; angles 90.00, 90.00, 90.00 degrees
Element x y z (fractional)
Tc 0.5000 0.5000 0.0000
Rh 0.0000 0.0000 0.2402
Rh 0.0000 0.0000 0.7598
Pt 0.5000 0.5000 0.5000

## Properties
Symmetry: No. 47

Entry ii
A plane-wave DFT calculation with PBEsol was carried out for crystalline TcPtRh2 at its relaxed geometry.

Cell lengths 2.6828, 3.8380, 5.3883 Å; angles 90.00, 90.00, 90.00 degrees
Element x y z (fractional)
Tc 0.0000 0.0000 0.4907
Pt 0.5000 0.5000 0.7471
Rh 0.5000 0.5000 0.2568
Rh 0.0000 0.0000 0.0055

## Properties
Symmetry: No. 25

Pick entry i: it beats the second-best structure by 2.2 kJ/mol of atoms.

Entry i
A plane-wave DFT calculation with PBEsol was carried out for crystalline TcPtRh2 at its relaxed geometry.

Cell lengths 2.6892, 4.6753, 4.6753 Å; angles 109.32, 90.00, 90.00 degrees
Element x y z (fractional)
Pt 0.5000 0.5000 0.5000
Rh 0.0000 0.5000 0.0000
Rh 0.0000 0.0000 0.5000
Tc 0.5000 0.0000 0.0000

## Properties
Symmetry: No. 65

Entry ii
A plane-wave DFT calculation with PBEsol was carried out for crystalline TcPtRh2 at its relaxed geometry.

Cell lengths 2.6909, 2.6909, 9.0239 Å; angles 81.43, 81.43, 60.00 degrees
Element x y z (fractional)
Pt 0.0000 0.0000 0.0000
Tc 0.5000 0.5000 0.5000
Rh 0.2464 0.2464 0.2608
Rh 0.7536 0.7536 0.7392

## Properties
Symmetry: No. 166

Pick entry ii: it beats the second-best structure by 5.9 kJ/mol of atoms.

Entry i
A plane-wave DFT calculation with PBEsol was carried out for crystalline TcPtRh2 at its relaxed geometry.

Cell lengths 2.6780, 4.6786, 4.6877 Å; angles 99.27, 90.00, 106.63 degrees
Element x y z (fractional)
Rh 0.7466 0.4933 0.7418
Rh 0.2534 0.5067 0.2582
Pt 0.5000 0.0000 0.0000
Tc 0.0000 0.0000 0.5000

## Properties
Symmetry: No. 12

Entry ii
A plane-wave DFT calculation with PBEsol was carried out for crystalline TcPtRh2 at its relaxed geometry.

Cell lengths 3.7922, 3.7922, 4.6951 Å; angles 113.83, 113.83, 90.00 degrees
Element x y z (fractional)
Tc 0.4999 0.5001 0.0000
Rh 0.2502 0.7498 0.5000
Rh 0.0001 0.9999 0.0000
Pt 0.7499 0.2501 0.5000

## Properties
Symmetry: No. 119

Entry iii
A plane-wave DFT calculation with PBEsol was carried out for crystalline TcPtRh2 at its relaxed geometry.

Cell lengths 2.6914, 2.6914, 9.0036 Å; angles 81.40, 81.40, 60.00 degrees
Element x y z (fractional)
Tc 0.4980 0.4980 0.5059
Rh 0.0015 0.0015 0.9954
Rh 0.7516 0.7516 0.7452
Pt 0.2489 0.2489 0.2534

## Properties
Symmetry: No. 160

Pick entry i: it beats the second-best structure by 1.5 kJ/mol of atoms.